Entry 1:
This record from Alexandria describes CdSbPb after structural relaxation. The functional is PBE.

Summary:
Formation energy (no corrections) (eV/atom): 0.085
Crystal system: trigonal
Calculated volume (Å³ per cell): 85

```
data_CdSbPb
_chemical_formula_sum 'Cd1 Sb1 Pb1'
_space_group_name_H-M_alt 'P 3 m 1'
_space_group_IT_number 156
_cell_length_a 5.4202
_cell_length_b 5.4202
_cell_length_c 3.3261
_cell_angle_alpha 90.00
_cell_angle_beta 90.00
_cell_angle_gamma 120.00
loop_
_space_group_symop_operation_xyz
'x,y,z'
'-y,x-y,z'
'-x+y,-x,z'
'-y,-x,z'
'-x+y,y,z'
'x,x-y,z'
loop_
_atom_site_label
_atom_site_fract_x
_atom_site_fract_y
_atom_site_fract_z
Cd1 0.0000 0.0000 0.0000
Sb1 0.3333 0.6667 0.9792
Pb1 0.6667 0.3333 0.5091
```

***

Entry 2:
This record from Alexandria describes KAl2SiTc after structural relaxation. The functional is PBE.

Summary:
Formation energy (no corrections) (eV/atom): -0.098
Crystal system: tetragonal
Calculated volume (Å³ per cell): 112

```
data_KAl2SiTc
_chemical_formula_sum 'K1 Al2 Si1 Tc1'
_space_group_name_H-M_alt 'P 4/m m m'
_space_group_IT_number 123
_space_group_name_Hall '-P 4 2'
_cell_length_a 4.8891
_cell_length_b 4.8891
_cell_length_c 4.6949
_cell_angle_alpha 90.00
_cell_angle_beta 90.00
_cell_angle_gamma 90.00
loop_
_atom_site_label
_atom_site_fract_x
_atom_site_fract_y
_atom_site_fract_z
K1 0.0000 0.0000 0.0000
Al1 0.0000 0.5000 0.5000
Si1 0.5000 0.5000 0.0000
Tc1 0.5000 0.5000 0.5000
```

***

Entry 3:
This record from Alexandria describes MnGeSN after structural relaxation. The functional is PBE.

Summary:
Formation energy (no corrections) (eV/atom): -0.046
Crystal system: monoclinic
Relative energy among the computed polymorphs (eV per formula unit): 0.31
Calculated volume (Å³ per cell): 114

```
data_MnGeSN
_chemical_formula_sum 'Mn2 Ge2 S2 N2'
_space_group_name_H-M_alt 'C 1 m 1'
_space_group_IT_number 8
_cell_length_a 5.0578
_cell_length_b 2.8681
_cell_length_c 8.0054
_cell_angle_alpha 90.00
_cell_angle_beta 101.84
_cell_angle_gamma 90.00
loop_
_space_group_symop_operation_xyz
'x,y,z'
'x,-y,z'
'x+1/2,y+1/2,z'
'x+1/2,-y+1/2,z'
loop_
_atom_site_label
_atom_site_fract_x
_atom_site_fract_y
_atom_site_fract_z
Mn1 0.0000 0.0000 0.0000
Ge1 0.0435 0.5000 0.6180
S1 0.2318 0.5000 0.1978
N1 0.1247 0.5000 0.8663
```

***

Question: calculated volume of number 1 (CdSbPb)?
Answer: 85 Å³ per cell

***

Question: The highest calculated volume belongs to which entry?
Answer: MnGeSN